1.
Tb3Ni2Hg: optimized geometry, PBE.

Output
Its crystal system is orthorhombic. The space-group type is Pmc2_1, No. 26. As for the total energy: -4.685 eV/atom. For the energy of formation, the calculation gives -0.392 eV per atom. The density of states at the Fermi level is 11.6 states/eV/cell.

```
data_Tb3Ni2Hg
_cell_length_a 4.0826
_cell_length_b 9.2938
_cell_length_c 7.2432
_cell_angle_alpha 90.00
_cell_angle_beta 90.00
_cell_angle_gamma 90.00
_symmetry_space_group_name_H-M 'P 1'
_symmetry_Int_Tables_number 1
loop_
_symmetry_equiv_pos_as_xyz
'x,y,z'
loop_
_atom_site_label
_atom_site_type_symbol
_atom_site_fract_x
_atom_site_fract_y
_atom_site_fract_z
_atom_site_occupancy
Tb1 Tb 0.0000 0.0579 0.0000 1
Tb2 Tb 0.0000 0.9421 0.5000 1
Tb3 Tb 0.5000 0.2504 0.3802 1
Tb4 Tb 0.5000 0.3448 0.8521 1
Tb5 Tb 0.5000 0.6552 0.3521 1
Tb6 Tb 0.5000 0.7496 0.8802 1
Ni1 Ni 0.0000 0.2142 0.6488 1
Ni2 Ni 0.0000 0.7858 0.1488 1
Ni3 Ni 0.5000 0.0562 0.7212 1
Ni4 Ni 0.5000 0.9438 0.2212 1
Hg1 Hg 0.0000 0.4683 0.1323 1
Hg2 Hg 0.0000 0.5317 0.6323 1
```

---

2.
Hf3FeSn2: optimized geometry, PBE.

Output
Its crystal system is orthorhombic. The space-group type is Pnma, No. 62. As for the total energy: -7.999 eV/atom. For the energy of formation, the calculation gives -0.278 eV per atom. The density of states at the Fermi level is 13.4 states/eV/cell.

```
data_Hf3FeSn2
_cell_length_a 12.0303
_cell_length_b 4.0558
_cell_length_c 10.1616
_cell_angle_alpha 90.00
_cell_angle_beta 90.00
_cell_angle_gamma 90.00
_symmetry_space_group_name_H-M 'P 1'
_symmetry_Int_Tables_number 1
loop_
_symmetry_equiv_pos_as_xyz
'x,y,z'
loop_
_atom_site_label
_atom_site_type_symbol
_atom_site_fract_x
_atom_site_fract_y
_atom_site_fract_z
_atom_site_occupancy
Hf1 Hf 0.0722 0.2500 0.0801 1
Hf2 Hf 0.1015 0.7500 0.5321 1
Hf3 Hf 0.2147 0.7500 0.2570 1
Hf4 Hf 0.2853 0.2500 0.7570 1
Hf5 Hf 0.3985 0.2500 0.0321 1
Hf6 Hf 0.4278 0.7500 0.5801 1
Hf7 Hf 0.5722 0.2500 0.4199 1
Hf8 Hf 0.6015 0.7500 0.9679 1
Hf9 Hf 0.7147 0.7500 0.2430 1
Hf10 Hf 0.7853 0.2500 0.7430 1
Hf11 Hf 0.8985 0.2500 0.4679 1
Hf12 Hf 0.9278 0.7500 0.9199 1
Fe1 Fe 0.0939 0.2500 0.3419 1
Fe2 Fe 0.4061 0.7500 0.8419 1
Fe3 Fe 0.5939 0.2500 0.1581 1
Fe4 Fe 0.9061 0.7500 0.6581 1
Sn1 Sn 0.0372 0.2500 0.7439 1
Sn2 Sn 0.2124 0.7500 0.9598 1
Sn3 Sn 0.2876 0.2500 0.4598 1
Sn4 Sn 0.4628 0.7500 0.2439 1
Sn5 Sn 0.5372 0.2500 0.7561 1
Sn6 Sn 0.7124 0.7500 0.5402 1
Sn7 Sn 0.7876 0.2500 0.0402 1
Sn8 Sn 0.9628 0.7500 0.2561 1
```

---

3.
NbSe4: optimized geometry, PBE.

Output
Its crystal system is tetragonal. The space-group type is I4/m, No. 87. As for the total energy: -4.951 eV/atom. The density of states at the Fermi level is 3.9 states/eV/cell.

```
data_NbSe4
_cell_length_a 6.3289
_cell_length_b 6.3289
_cell_length_c 6.3289
_cell_angle_alpha 93.87
_cell_angle_beta 93.87
_cell_angle_gamma 149.87
_symmetry_space_group_name_H-M 'P 1'
_symmetry_Int_Tables_number 1
loop_
_symmetry_equiv_pos_as_xyz
'x,y,z'
loop_
_atom_site_label
_atom_site_type_symbol
_atom_site_fract_x
_atom_site_fract_y
_atom_site_fract_z
_atom_site_occupancy
Nb1 Nb 0.0000 0.0000 0.0000 1
Se1 Se 0.2767 0.6042 0.8810 1
Se2 Se 0.3958 0.2767 0.6725 1
Se3 Se 0.6042 0.7233 0.3275 1
Se4 Se 0.7233 0.3958 0.1190 1
```

---

4.
Sr3Ac4Pb4: optimized geometry, PBE.

Output
Its crystal system is orthorhombic. The space-group type is Immm, No. 71. As for the total energy: -3.696 eV/atom. For the energy of formation, the calculation gives -0.394 eV per atom. The density of states at the Fermi level is 6.0 states/eV/cell.

```
data_Sr3Ac4Pb4
_cell_length_a 11.7343
_cell_length_b 11.7343
_cell_length_c 11.7343
_cell_angle_alpha 160.63
_cell_angle_beta 126.49
_cell_angle_gamma 57.45
_symmetry_space_group_name_H-M 'P 1'
_symmetry_Int_Tables_number 1
loop_
_symmetry_equiv_pos_as_xyz
'x,y,z'
loop_
_atom_site_label
_atom_site_type_symbol
_atom_site_fract_x
_atom_site_fract_y
_atom_site_fract_z
_atom_site_occupancy
Sr1 Sr 0.0000 0.0000 0.0000 1
Sr2 Sr 0.4113 0.9113 0.5000 1
Sr3 Sr 0.5887 0.0887 0.5000 1
Ac1 Ac 0.0152 0.3342 0.6810 1
Ac2 Ac 0.3468 0.6658 0.6810 1
Ac3 Ac 0.6532 0.3342 0.3190 1
Ac4 Ac 0.9848 0.6658 0.3190 1
Pb1 Pb 0.2721 0.5000 0.7721 1
Pb2 Pb 0.2762 0.2762 0.0000 1
Pb3 Pb 0.7238 0.7238 0.0000 1
Pb4 Pb 0.7279 0.5000 0.2279 1
```

---

5.
Al12Tc: optimized geometry, PBE.

Output
Its crystal system is cubic. The space-group type is Im-3, No. 204. As for the total energy: -4.417 eV/atom. For the energy of formation, the calculation gives -0.164 eV per atom. The density of states at the Fermi level is 6.5 states/eV/cell.

```
data_Al12Tc
_cell_length_a 6.5288
_cell_length_b 6.5288
_cell_length_c 6.5288
_cell_angle_alpha 109.47
_cell_angle_beta 109.47
_cell_angle_gamma 109.47
_symmetry_space_group_name_H-M 'P 1'
_symmetry_Int_Tables_number 1
loop_
_symmetry_equiv_pos_as_xyz
'x,y,z'
loop_
_atom_site_label
_atom_site_type_symbol
_atom_site_fract_x
_atom_site_fract_y
_atom_site_fract_z
_atom_site_occupancy
Al1 Al 0.1177 0.8111 0.3066 1
Al2 Al 0.1889 0.3066 0.4954 1
Al3 Al 0.1889 0.6934 0.8823 1
Al4 Al 0.3066 0.1177 0.8111 1
Al5 Al 0.3066 0.4954 0.1889 1
Al6 Al 0.4954 0.1889 0.3066 1
Al7 Al 0.5046 0.8111 0.6934 1
Al8 Al 0.6934 0.5046 0.8111 1
Al9 Al 0.6934 0.8823 0.1889 1
Al10 Al 0.8111 0.3066 0.1177 1
Al11 Al 0.8111 0.6934 0.5046 1
Al12 Al 0.8823 0.1889 0.6934 1
Tc1 Tc 0.0000 0.0000 0.0000 1
```

---

6.
LaY2Tl2Cd2: optimized geometry, PBE.

Output
Its crystal system is trigonal. The space-group type is R-3m, No. 166. As for the total energy: -3.703 eV/atom. For the energy of formation, the calculation gives -0.214 eV per atom. The density of states at the Fermi level is 5.0 states/eV/cell.

```
data_LaY2Tl2Cd2
_cell_length_a 9.4162
_cell_length_b 9.4162
_cell_length_c 9.4162
_cell_angle_alpha 31.16
_cell_angle_beta 31.16
_cell_angle_gamma 31.16
_symmetry_space_group_name_H-M 'P 1'
_symmetry_Int_Tables_number 1
loop_
_symmetry_equiv_pos_as_xyz
'x,y,z'
loop_
_atom_site_label
_atom_site_type_symbol
_atom_site_fract_x
_atom_site_fract_y
_atom_site_fract_z
_atom_site_occupancy
La1 La 0.0000 0.0000 0.0000 1
Y1 Y 0.1345 0.1345 0.1345 1
Y2 Y 0.8655 0.8655 0.8655 1
Tl1 Tl 0.2663 0.2663 0.2663 1
Tl2 Tl 0.7337 0.7337 0.7337 1
Cd1 Cd 0.4336 0.4336 0.4336 1
Cd2 Cd 0.5664 0.5664 0.5664 1
```